An optimized crystal structure of FeS2ClO. Source: Alexandria via LeMat-Bulk, functional GGA+U.

Its density of states at the Fermi level is 1.103 states/eV/atom. The value obtained for the distance to the lowest polymorph of the same formula is 0.000 eV per atom. The total energy is -3.5083 eV/atom. Its crystal system is tetragonal.

The structure belongs to space group P4/mmm (No. 123); the cell edges are 3.8603, 3.8603 and 5.6393 Å and the angles 90.00°, 90.00° and 90.00°. The distinct sites, in fractional coordinates, are Fe at (0.0000, 0.0000, 0.0000), S at (0.0000, 0.5000, 0.5000), Cl at (0.5000, 0.5000, 0.0000) and O at (0.5000, 0.5000, 0.5000).